(1)
VASP calculation (PBE) on a geometry-optimized DyTh8C6 structure.

Calculated values
- SG: R-3 (148)
- DFT total energy: -8.216 eV per atom
- ΔE_f: -0.26 eV/atom

Cell lengths 6.398, 6.398, 10.144 Å; angles 71.62, 71.62, 60.00 degrees
Element x y z (fractional)
Th (0.772, 0.435, 0.689)
C (0.274, 0.943, 0.172)
Dy (0.000, 0.000, 0.000)
Th (0.565, 0.896, 0.311)
Th (0.104, 0.772, 0.689)
Th (0.333, 0.333, 0.000)
C (0.726, 0.057, 0.828)
Th (0.435, 0.104, 0.689)
C (0.057, 0.388, 0.828)
C (0.388, 0.726, 0.828)
Th (0.228, 0.565, 0.311)
Th (0.896, 0.228, 0.311)
C (0.612, 0.274, 0.172)
Th (0.667, 0.667, 0.000)
C (0.943, 0.612, 0.172)

***

(2)
VASP calculation (PBE) on a geometry-optimized Nd4Ho7Sc structure.

Calculated values
- SG: C2/m (12)
- DFT total energy: -4.593 eV per atom
- ΔE_f: 0.19 eV/atom

Cell lengths 5.329, 13.231, 6.307 Å; angles 94.71, 65.01, 78.38 degrees
Element x y z (fractional)
Nd (0.416, 0.262, 0.905)
Ho (0.960, 0.629, 0.451)
Nd (0.254, 0.783, 0.708)
Ho (0.328, 0.534, 0.810)
Nd (0.746, 0.217, 0.292)
Ho (0.500, 0.000, 0.000)
Ho (0.040, 0.371, 0.549)
Ho (0.672, 0.466, 0.190)
Sc (0.000, 0.000, 0.000)
Ho (0.166, 0.100, 0.567)
Ho (0.834, 0.900, 0.433)
Nd (0.584, 0.738, 0.095)

***

(3)
VASP calculation (PBE) on a geometry-optimized Cs3NaPu2O9 structure.

Calculated values
- SG: P-3m1 (164)
- DFT total energy: -7.275 eV per atom
- Uncorrected formation energy: -2.1310 eV per atom

Cell lengths 6.326, 6.326, 7.839 Å; angles 90.00, 90.00, 120.00 degrees
Element x y z (fractional)
O (0.190, 0.379, 0.295)
O (0.621, 0.810, 0.295)
Cs (0.667, 0.333, 0.351)
O (0.500, 0.500, 0.000)
O (0.190, 0.810, 0.295)
O (0.810, 0.621, 0.705)
Na (0.000, 0.000, 0.500)
Pu (0.667, 0.333, 0.850)
O (0.000, 0.500, 0.000)
Cs (0.333, 0.667, 0.649)
O (0.379, 0.190, 0.705)
Cs (0.000, 0.000, 0.000)
Pu (0.333, 0.667, 0.150)
O (0.500, 0.000, 0.000)
O (0.810, 0.190, 0.705)

***

(4)
VASP calculation (PBE) on a geometry-optimized MgCuTe structure.

Calculated values
- SG: F-43m (216)
- DFT total energy: -3.082 eV per atom
- Uncorrected formation energy: -0.1376 eV per atom

Cell lengths 4.557, 4.557, 4.557 Å; angles 60.00, 60.00, 60.00 degrees
Element x y z (fractional)
Mg (0.000, 0.000, 0.000)
Te (0.500, 0.500, 0.500)
Cu (0.750, 0.750, 0.750)

***

(5)
VASP calculation (PBE) on a geometry-optimized Pm7BeCl12 structure.

Calculated values
- SG: R-3 (148)
- DFT total energy: -4.791 eV per atom
- Uncorrected formation energy: -1.8342 eV per atom

Cell lengths 9.727, 9.012, 9.012 Å; angles 107.81, 111.09, 111.09 degrees
Element x y z (fractional)
Cl (0.780, 0.471, 0.858)
Pm (0.670, 0.705, 0.788)
Cl (0.474, 0.087, 0.310)
Cl (0.690, 0.613, 0.471)
Pm (0.117, 0.788, 0.083)
Cl (0.387, 0.223, 0.913)
Cl (0.526, 0.913, 0.690)
Be (0.000, 0.000, 0.000)
Cl (0.220, 0.529, 0.142)
Pm (0.966, 0.083, 0.295)
Pm (0.500, 0.000, 0.000)
Cl (0.077, 0.858, 0.387)
Cl (0.613, 0.777, 0.087)
Pm (0.330, 0.295, 0.212)
Cl (0.164, 0.690, 0.777)
Pm (0.034, 0.917, 0.705)
Cl (0.923, 0.142, 0.613)
Cl (0.310, 0.387, 0.529)
Cl (0.836, 0.310, 0.223)
Pm (0.883, 0.212, 0.917)

***

(6)
VASP calculation (PBE) on a geometry-optimized Na2CrCl structure.

Calculated values
- SG: Cm (8)
- DFT total energy: -3.614 eV per atom
- Uncorrected formation energy: -0.0871 eV per atom

Cell lengths 9.619, 3.583, 6.098 Å; angles 90.00, 96.37, 90.00 degrees
Element x y z (fractional)
Cl (0.534, 0.000, 0.291)
Na (0.074, 0.500, 0.044)
Na (0.737, 0.500, 0.491)
Na (0.737, 0.000, 0.991)
Cr (0.345, 0.500, 0.430)
Cr (0.345, 0.000, 0.930)
Cl (0.534, 0.500, 0.791)
Na (0.074, 0.000, 0.544)